*P*
{
  "formula": "Al2OsBr",
  "functional": "PBE-GGA",
  "state": "relaxed",
  "lattice": [[5.8236, 0.0000, 0.0000], [0.0000, 7.3728, 0.0000], [0.0000, 0.0000, 3.0181]],
  "species": ["Al", "Al", "Al", "Al", "Os", "Os", "Br", "Br"],
  "frac_coords": [[0.2500, 0.2500, 0.0000], [0.2500, 0.7500, 0.0000], [0.7500, 0.2500, 0.0000], [0.7500, 0.7500, 0.0000], [0.0000, 0.0000, 0.5000], [0.5000, 0.5000, 0.5000], [0.0000, 0.5000, 0.5000], [0.5000, 0.0000, 0.5000]],
  "vol_a3_per_cell": 130,
  "sg": "Cmmm (65)"
}

***

*Q*
{
  "formula": "Al2OsBr",
  "functional": "PBE-GGA",
  "state": "relaxed",
  "lattice": [[3.1794, 0.0000, 0.0000], [0.0000, 5.1225, 0.0000], [0.0000, 0.0000, 9.0638]],
  "species": ["Al", "Al", "Al", "Al", "Os", "Os", "Br", "Br"],
  "frac_coords": [[0.0000, 0.0000, 0.0000], [0.0000, 0.5000, 0.2452], [0.5000, 0.0000, 0.2452], [0.5000, 0.5000, 0.0000], [0.0000, 0.5000, 0.8010], [0.5000, 0.0000, 0.8010], [0.0000, 0.0000, 0.4599], [0.5000, 0.5000, 0.4599]],
  "vol_a3_per_cell": 148,
  "sg": "Cmm2 (35)"
}

***

*R*
{
  "formula": "Al2OsBr",
  "functional": "PBE-GGA",
  "state": "relaxed",
  "lattice": [[3.0940, 0.0000, 0.0000], [0.0000, 3.0940, 0.0000], [0.0000, 0.0000, 7.4917]],
  "species": ["Al", "Al", "Os", "Br"],
  "frac_coords": [[0.0000, 0.0000, 0.1874], [0.0000, 0.0000, 0.8126], [0.5000, 0.5000, 0.0000], [0.5000, 0.5000, 0.5000]],
  "vol_a3_per_cell": 72,
  "sg": "P4/mmm (123)"
}

***

Which structure wins on stability? *R* wins.

***

*P*
{
  "formula": "AlOsBr2",
  "functional": "PBE-GGA",
  "state": "relaxed",
  "lattice": [[3.0726, 0.0000, 0.0000], [0.0000, 4.4510, 0.0000], [0.0000, 0.0000, 5.6219]],
  "species": ["Al", "Os", "Br", "Br"],
  "frac_coords": [[0.0000, 0.0000, 0.0000], [0.5000, 0.0000, 0.5000], [0.0000, 0.5000, 0.5000], [0.5000, 0.5000, 0.0000]],
  "vol_a3_per_cell": 77,
  "sg": "Pmmm (47)"
}

***

*Q*
{
  "formula": "AlOsBr2",
  "functional": "PBE-GGA",
  "state": "relaxed",
  "lattice": [[3.1369, 0.0000, 0.0000], [0.0000, 6.0099, 0.0000], [0.0000, 0.0000, 9.6555]],
  "species": ["Al", "Al", "Os", "Os", "Br", "Br", "Br", "Br"],
  "frac_coords": [[0.0000, 0.0000, 0.0000], [0.5000, 0.5000, 0.0000], [0.0000, 0.5000, 0.2025], [0.5000, 0.0000, 0.2025], [0.0000, 0.0000, 0.4066], [0.0000, 0.5000, 0.7981], [0.5000, 0.0000, 0.7981], [0.5000, 0.5000, 0.4066]],
  "vol_a3_per_cell": 182,
  "sg": "Cmm2 (35)"
}

***

Which structure wins on stability? *Q* wins.

***

*P*
{
  "formula": "AlOsBr2",
  "functional": "PBE-GGA",
  "state": "relaxed",
  "lattice": [[6.8927, 0.0000, 0.0000], [0.0000, 6.9137, 0.0000], [0.0000, 0.0000, 3.1632]],
  "species": ["Al", "Al", "Os", "Os", "Br", "Br", "Br", "Br"],
  "frac_coords": [[0.0000, 0.0000, 0.0000], [0.5000, 0.5000, 0.0000], [0.0000, 0.5000, 0.0000], [0.5000, 0.0000, 0.0000], [0.2500, 0.2500, 0.5000], [0.2500, 0.7500, 0.5000], [0.7500, 0.2500, 0.5000], [0.7500, 0.7500, 0.5000]],
  "vol_a3_per_cell": 151,
  "sg": "Cmmm (65)"
}

***

*Q*
{
  "formula": "AlOsBr2",
  "functional": "PBE-GGA",
  "state": "relaxed",
  "lattice": [[3.2680, 0.0000, 0.0000], [-1.6340, 2.8301, 0.0000], [0.0000, 0.0000, 28.3269]],
  "species": ["Al", "Al", "Al", "Os", "Os", "Os", "Br", "Br", "Br", "Br", "Br", "Br"],
  "frac_coords": [[0.0000, 0.0000, 0.0000], [0.3333, 0.6667, 0.6667], [0.6667, 0.3333, 0.3333], [0.0000, 0.0000, 0.7291], [0.3333, 0.6667, 0.3957], [0.6667, 0.3333, 0.0624], [0.0000, 0.0000, 0.2694], [0.0000, 0.0000, 0.4628], [0.3333, 0.6667, 0.1295], [0.3333, 0.6667, 0.9361], [0.6667, 0.3333, 0.6028], [0.6667, 0.3333, 0.7961]],
  "vol_a3_per_cell": 262,
  "sg": "R3m (160)"
}

***

Which structure wins on stability? *Q* wins.

***

*P*
{
  "formula": "AlOsBr2",
  "functional": "PBE-GGA",
  "state": "relaxed",
  "lattice": [[3.0687, 0.0000, 0.0000], [0.0000, 5.8194, 0.0000], [0.0000, 0.0000, 9.5235]],
  "species": ["Al", "Al", "Os", "Os", "Br", "Br", "Br", "Br"],
  "frac_coords": [[0.0000, 0.0000, 0.0000], [0.5000, 0.5000, 0.0000], [0.0000, 0.0000, 0.5000], [0.5000, 0.5000, 0.5000], [0.0000, 0.5000, 0.2881], [0.0000, 0.5000, 0.7119], [0.5000, 0.0000, 0.2881], [0.5000, 0.0000, 0.7119]],
  "vol_a3_per_cell": 170,
  "sg": "Cmmm (65)"
}

***

*Q*
{
  "formula": "AlOsBr2",
  "functional": "PBE-GGA",
  "state": "relaxed",
  "lattice": [[4.7747, 0.0000, 0.0000], [0.0000, 3.8852, 0.0000], [-2.3808, 0.0000, 6.7688]],
  "species": ["Al", "Os", "Br", "Br"],
  "frac_coords": [[0.0000, 0.0000, 0.0000], [0.5000, 0.0000, 0.0000], [0.3765, 0.5000, 0.7531], [0.6235, 0.5000, 0.2469]],
  "vol_a3_per_cell": 126,
  "sg": "P2/m (10)"
}

***

*R*
{
  "formula": "AlOsBr2",
  "functional": "PBE-GGA",
  "state": "relaxed",
  "lattice": [[3.0714, 0.0000, 0.0000], [0.0000, 8.5110, 0.0000], [0.0000, 0.0000, 9.5728]],
  "species": ["Al", "Al", "Os", "Os", "Br", "Br", "Br", "Br"],
  "frac_coords": [[0.0000, 0.0000, 0.0000], [0.5000, 0.5000, 0.5000], [0.0000, 0.5000, 0.7093], [0.5000, 0.0000, 0.2093], [0.0000, 0.0000, 0.4080], [0.0000, 0.5000, 0.2969], [0.5000, 0.0000, 0.7969], [0.5000, 0.5000, 0.9080]],
  "vol_a3_per_cell": 250,
  "sg": "Imm2 (44)"
}

***

*S*
{
  "formula": "AlOsBr2",
  "functional": "PBE-GGA",
  "state": "relaxed",
  "lattice": [[3.7272, 0.0000, 0.0000], [-1.8636, 3.2279, 0.0000], [0.0000, 0.0000, 27.1361]],
  "species": ["Al", "Al", "Al", "Os", "Os", "Os", "Br", "Br", "Br", "Br", "Br", "Br"],
  "frac_coords": [[0.0000, 0.0000, 0.0000], [0.3333, 0.6667, 0.6667], [0.6667, 0.3333, 0.3333], [0.0000, 0.0000, 0.5000], [0.3333, 0.6667, 0.1667], [0.6667, 0.3333, 0.8333], [0.0000, 0.0000, 0.2156], [0.0000, 0.0000, 0.7844], [0.3333, 0.6667, 0.4511], [0.3333, 0.6667, 0.8823], [0.6667, 0.3333, 0.1177], [0.6667, 0.3333, 0.5489]],
  "vol_a3_per_cell": 326,
  "sg": "R-3m (166)"
}

***

Which structure wins on stability? *Q* wins.

***

*P*
{
  "formula": "AlOsBr2",
  "functional": "PBE-GGA",
  "state": "relaxed",
  "lattice": [[6.5481, 0.0000, 0.0000], [0.0000, 6.5481, 0.0000], [0.0000, 0.0000, 11.0309]],
  "species": ["Al", "Al", "Al", "Al", "Os", "Os", "Os", "Os", "Br", "Br", "Br", "Br", "Br", "Br", "Br", "Br"],
  "frac_coords": [[0.0000, 0.0000, 0.0000], [0.0000, 0.5000, 0.2500], [0.5000, 0.0000, 0.7500], [0.5000, 0.5000, 0.5000], [0.0000, 0.0000, 0.5000], [0.0000, 0.5000, 0.7500], [0.5000, 0.0000, 0.2500], [0.5000, 0.5000, 0.0000], [0.1766, 0.2500, 0.6250], [0.2500, 0.6766, 0.8750], [0.2500, 0.8234, 0.3750], [0.3234, 0.2500, 0.1250], [0.6766, 0.7500, 0.1250], [0.7500, 0.1766, 0.3750], [0.7500, 0.3234, 0.8750], [0.8234, 0.7500, 0.6250]],
  "vol_a3_per_cell": 473,
  "sg": "I-42d (122)"
}

***

*Q*
{
  "formula": "AlOsBr2",
  "functional": "PBE-GGA",
  "state": "relaxed",
  "lattice": [[4.2873, 0.0000, 0.0000], [0.0000, 4.2873, 0.0000], [0.0000, 0.0000, 8.0977]],
  "species": ["Al", "Al", "Os", "Os", "Br", "Br", "Br", "Br"],
  "frac_coords": [[0.0000, 0.0000, 0.0000], [0.5000, 0.5000, 0.5000], [0.0000, 0.5000, 0.2500], [0.5000, 0.0000, 0.7500], [0.0000, 0.0000, 0.5000], [0.0000, 0.5000, 0.7500], [0.5000, 0.0000, 0.2500], [0.5000, 0.5000, 0.0000]],
  "vol_a3_per_cell": 149,
  "sg": "I-4m2 (119)"
}

***

Which structure wins on stability? *P* wins.

***

*P*
{
  "formula": "AlOsBr2",
  "functional": "PBE-GGA",
  "state": "relaxed",
  "lattice": [[3.1185, 0.0000, 0.0000], [0.0000, 4.1508, 0.0000], [0.0000, 0.0000, 15.0547]],
  "species": ["Al", "Al", "Os", "Os", "Br", "Br", "Br", "Br"],
  "frac_coords": [[0.0000, 0.0000, 0.0000], [0.5000, 0.5000, 0.5000], [0.0000, 0.0000, 0.5000], [0.5000, 0.5000, 0.0000], [0.0000, 0.5000, 0.1432], [0.0000, 0.5000, 0.8568], [0.5000, 0.0000, 0.3568], [0.5000, 0.0000, 0.6432]],
  "vol_a3_per_cell": 195,
  "sg": "Immm (71)"
}

***

*Q*
{
  "formula": "AlOsBr2",
  "functional": "PBE-GGA",
  "state": "relaxed",
  "lattice": [[6.6813, 0.0000, 0.0000], [0.0000, 6.6813, 0.0000], [0.0000, 0.0000, 6.6813]],
  "species": ["Al", "Al", "Al", "Al", "Os", "Os", "Os", "Os", "Br", "Br", "Br", "Br", "Br", "Br", "Br", "Br"],
  "frac_coords": [[0.0000, 0.0000, 0.0000], [0.0000, 0.5000, 0.5000], [0.5000, 0.0000, 0.5000], [0.5000, 0.5000, 0.0000], [0.0000, 0.0000, 0.5000], [0.0000, 0.5000, 0.0000], [0.5000, 0.0000, 0.0000], [0.5000, 0.5000, 0.5000], [0.2500, 0.2500, 0.2500], [0.2500, 0.2500, 0.7500], [0.2500, 0.7500, 0.2500], [0.2500, 0.7500, 0.7500], [0.7500, 0.2500, 0.2500], [0.7500, 0.2500, 0.7500], [0.7500, 0.7500, 0.2500], [0.7500, 0.7500, 0.7500]],
  "vol_a3_per_cell": 298,
  "sg": "Fm-3m (225)"
}

***

*R*
{
  "formula": "AlOsBr2",
  "functional": "PBE-GGA",
  "state": "relaxed",
  "lattice": [[3.8975, 0.0000, 0.0000], [0.0000, 3.1265, 0.0000], [-1.4139, 0.0000, 7.8484]],
  "species": ["Al", "Os", "Br", "Br"],
  "frac_coords": [[0.0000, 0.0000, 0.0000], [0.5332, 0.5000, 0.0770], [0.2479, 0.5000, 0.7612], [0.6411, 0.0000, 0.3395]],
  "vol_a3_per_cell": 96,
  "sg": "Pm (6)"
}

***

*S*
{
  "formula": "AlOsBr2",
  "functional": "PBE-GGA",
  "state": "relaxed",
  "lattice": [[4.4058, 0.0000, 0.0000], [0.0000, 4.4058, 0.0000], [0.0000, 0.0000, 3.9348]],
  "species": ["Al", "Os", "Br", "Br"],
  "frac_coords": [[0.0000, 0.0000, 0.0000], [0.5000, 0.5000, 0.0000], [0.0000, 0.5000, 0.5000], [0.5000, 0.0000, 0.5000]],
  "vol_a3_per_cell": 76,
  "sg": "P4/mmm (123)"
}

***

Which structure wins on stability? *R* wins.

***

*P*
{
  "formula": "AlOsSe2Br",
  "functional": "PBE-GGA",
  "state": "relaxed",
  "lattice": [[4.9286, 0.0000, 0.0000], [0.0000, 4.9286, 0.0000], [0.0000, 0.0000, 4.8110]],
  "species": ["Al", "Os", "Se", "Se", "Br"],
  "frac_coords": [[0.0000, 0.0000, 0.0000], [0.5000, 0.5000, 0.5000], [0.0000, 0.5000, 0.0000], [0.5000, 0.0000, 0.0000], [0.0000, 0.0000, 0.5000]],
  "vol_a3_per_cell": 117,
  "sg": "P4/mmm (123)"
}

***

*Q*
{
  "formula": "AlOsSe2Br",
  "functional": "PBE-GGA",
  "state": "relaxed",
  "lattice": [[4.8322, 0.0000, 0.0000], [0.0000, 4.8322, 0.0000], [0.0000, 0.0000, 5.4112]],
  "species": ["Al", "Os", "Se", "Se", "Br"],
  "frac_coords": [[0.0000, 0.0000, 0.0000], [0.5000, 0.5000, 0.5000], [0.0000, 0.5000, 0.5000], [0.5000, 0.0000, 0.5000], [0.5000, 0.5000, 0.0000]],
  "vol_a3_per_cell": 126,
  "sg": "P4/mmm (123)"
}

***

Which structure wins on stability? *Q* wins.

***

*P*
{
  "formula": "AlP2Br",
  "functional": "PBE-GGA",
  "state": "relaxed",
  "lattice": [[3.9793, 0.0000, 0.0000], [0.0000, 5.2592, 0.0000], [0.0000, 0.0000, 7.6322]],
  "species": ["Al", "Al", "P", "P", "P", "P", "Br", "Br"],
  "frac_coords": [[0.0000, 0.0000, 0.0000], [0.0000, 0.5000, 0.5000], [0.0000, 0.0000, 0.6056], [0.0000, 0.5000, 0.1056], [0.5000, 0.0000, 0.7585], [0.5000, 0.5000, 0.2585], [0.5000, 0.0000, 0.2568], [0.5000, 0.5000, 0.7568]],
  "vol_a3_per_cell": 160,
  "sg": "Amm2 (38)"
}

***

*Q*
{
  "formula": "AlP2Br",
  "functional": "PBE-GGA",
  "state": "relaxed",
  "lattice": [[4.8724, 0.0000, 0.0000], [0.0000, 4.8724, 0.0000], [0.0000, 0.0000, 3.0414]],
  "species": ["Al", "P", "P", "Br"],
  "frac_coords": [[0.0000, 0.0000, 0.0000], [0.0000, 0.5000, 0.5000], [0.5000, 0.0000, 0.5000], [0.5000, 0.5000, 0.0000]],
  "vol_a3_per_cell": 72,
  "sg": "P4/mmm (123)"
}

***

Which structure wins on stability? *P* wins.